A plane-wave DFT calculation with PBE was carried out for crystalline PmGa3PdPt at its relaxed geometry.

```
12
Lattice="-2.840 -5.025 -1.431 4.534 -1.486 -3.776 0.732 -2.321 6.695" Properties=species:S:1:pos:R:3 pbc="T T T"
Pm -0.396 -5.540 1.705
Pm 2.823 -3.293 -0.217
Ga 0.162 -2.147 1.040
Ga 1.329 -0.436 -1.107
Ga 1.785 -3.563 -3.385
Ga -0.091 -2.948 -1.823
Ga 3.205 -1.050 -2.669
Ga 2.265 -6.685 0.448
Pd 1.374 -3.385 2.982
Pd 1.053 -5.448 -1.494
Pt 4.100 -4.597 1.830
Pt -1.673 -4.235 -0.342
```

Output
Electronic total energy = -4.741 eV/atom
Density = 9.34 g/cm3
ΔE_f = -563 meV/atom
Density of states at the Fermi level = 3.087 states/eV/f.u.
Symmetry = Cmcm (63)
Total magnetic moment = 0.0 μB/f.u.

A plane-wave DFT calculation with PBE was carried out for crystalline K2Cd3Pb at its relaxed geometry.

```
6
Lattice="5.630 -0.150 -2.966 -3.567 5.264 -0.281 -0.165 0.215 6.539" Properties=species:S:1:pos:R:3 pbc="T T T"
K 2.853 1.883 -1.529
K -0.955 3.446 4.820
Cd 0.949 2.664 1.646
Cd -0.082 0.107 3.269
Cd 2.733 0.032 1.786
Pb 0.000 0.000 0.000
```

Output
Electronic total energy = -1.549 eV/atom
Density = 5.43 g/cm3
ΔE_f = -108 meV/atom
Density of states at the Fermi level = 2.885 states/eV/f.u.
Symmetry = C2/m (12)
Total magnetic moment = 0.0 μB/f.u.

A plane-wave DFT calculation with PBE was carried out for crystalline TlW3Au at its relaxed geometry.

```
5
Lattice="4.892 0.000 0.000 0.000 4.892 0.000 0.000 0.000 4.892" Properties=species:S:1:pos:R:3 pbc="T T T"
Tl 2.446 2.446 2.446
Au 0.000 0.000 0.000
W 0.000 2.446 0.000
W 0.000 0.000 2.446
W 2.446 0.000 0.000
```

Output
Electronic total energy = -6.302 eV/atom
Density = 13.52 g/cm3
ΔE_f = 2598 meV/atom
Density of states at the Fermi level = 7.641 states/eV/f.u.
Symmetry = Pm-3m (221)
Total magnetic moment = 0.0 μB/f.u.

- Which value of density of states at the Fermi level does entry 3 give?
  7.641 states/eV/f.u.